(1)
This record from Alexandria via LeMat-Bulk describes a relaxed Ac3PrSb4 crystal. The functional is GGA-PBE.

Lattice parameters (Å, degrees): 4.7438 8.2127 8.2127 109.43 90.00 90.00
Element x y z (fractional)
Ac (0.0000, 0.0000, 0.5000)
Ac (0.5000, 0.5000, 0.5000)
Ac (0.0000, 0.5000, 0.0000)
Sb (0.0000, 0.2418, 0.2418)
Sb (0.5000, 0.2456, 0.7544)
Sb (0.0000, 0.7582, 0.7582)
Sb (0.5000, 0.7544, 0.2456)
Pr (0.5000, 0.0000, 0.0000)

Output
DOS(E_F)   0.8 states/eV/cell
Raw formation energy   -1200 meV/atom
Total magnetic moment   0.00 μB/cell

***

(2)
This record from Alexandria via LeMat-Bulk describes a relaxed Pr2Sm7Ho2 crystal. The functional is GGA-PBE.

Lattice parameters (Å, degrees): 10.0432 6.3801 6.3801 113.44 91.52 91.52
Element x y z (fractional)
Pr (0.7142, 0.2973, 0.2973)
Pr (0.2858, 0.7027, 0.7027)
Sm (0.3652, 0.1832, 0.1832)
Sm (0.0000, 0.0000, 0.0000)
Sm (0.1476, 0.1685, 0.5776)
Sm (0.8524, 0.8315, 0.4224)
Sm (0.8524, 0.4224, 0.8315)
Sm (0.1476, 0.5776, 0.1685)
Sm (0.6348, 0.8168, 0.8168)
Ho (0.5000, 0.2723, 0.7277)
Ho (0.5000, 0.7277, 0.2723)

Output
DOS(E_F)   16.2 states/eV/cell
DFT formation energy   9.8 kJ per mole of atoms
Total magnetic moment   0.00 μB/cell

***

(3)
This record from Alexandria via LeMat-Bulk describes a relaxed LiAl2Cl crystal. The functional is GGA-PBE.

Lattice parameters (Å, degrees): 4.9950 4.9950 4.9950 60.00 60.00 60.00
Element x y z (fractional)
Cl (0.5000, 0.5000, 0.5000)
Li (0.0000, 0.0000, 0.0000)
Al (0.7500, 0.7500, 0.7500)
Al (0.2500, 0.2500, 0.2500)

Output
DOS(E_F)   1.9 states/eV/cell
Raw formation energy   261 meV/atom
Total magnetic moment   0.00 μB/cell

***

(4)
This record from Alexandria via LeMat-Bulk describes a relaxed KFe2Se crystal. The functional is GGA-PBE.

Lattice parameters (Å, degrees): 5.6023 5.6023 5.6023 137.06 137.06 62.34
Element x y z (fractional)
Fe (0.5000, 0.5000, 0.0000)
Fe (0.0000, 0.0000, 0.0000)
Se (0.7500, 0.2500, 0.5000)
K (0.2500, 0.7500, 0.5000)

Output
DOS(E_F)   5.4 states/eV/cell
Raw formation energy   804 meV/atom
Total magnetic moment   6.22 μB/cell

***

(5)
This record from Alexandria via LeMat-Bulk describes a relaxed CdTe2Se crystal. The functional is GGA-PBE.

Lattice parameters (Å, degrees): 5.2693 5.2693 5.2636 71.09 71.09 110.58
Element x y z (fractional)
Se (0.0000, 0.5000, 0.5000)
Cd (0.5000, 0.0000, 0.5000)
Te (0.5000, 0.5000, 0.0000)
Te (0.0000, 0.0000, 0.0000)

Output
DOS(E_F)   3.3 states/eV/cell
Raw formation energy   -115 meV/atom
Total magnetic moment   0.00 μB/cell

***

(6)
This record from Alexandria via LeMat-Bulk describes a relaxed NdHo2Pd crystal. The functional is GGA-PBE.

Lattice parameters (Å, degrees): 3.7073 3.7073 9.9946 79.31 79.31 60.00
Element x y z (fractional)
Nd (0.5000, 0.5000, 0.5000)
Ho (0.2693, 0.2693, 0.1920)
Ho (0.7307, 0.7307, 0.8080)
Pd (0.0000, 0.0000, 0.0000)

Output
DOS(E_F)   4.2 states/eV/cell
DFT formation energy   -29.7 kJ per mole of atoms
Total magnetic moment   0.00 μB/cell